(1)
Compound: TiTe2HCl
Source: Alexandria via LeMat-Bulk
Functional: GGA-PBE
Structure: relaxed

abc: 5.701 5.701 4.406
angles: 90.00 90.00 90.00
Space group P4/mmm (No. 123)
Asymmetric unit:
Ti 0.000 0.000 0.000 (multiplicity 1)
Te 0.000 0.500 0.500 (multiplicity 2)
H 0.500 0.500 0.000 (multiplicity 1)
Cl 0.000 0.000 0.500 (multiplicity 1)

The value obtained for the calculated total energy is -14.69 eV per formula unit. The value obtained for the density of states at the Fermi level is 4.8 states/eV per cell. The value obtained for the volume is 28.64 Å³ per atom.

(2)
Compound: ZnTeHCl2
Source: Alexandria via LeMat-Bulk
Functional: GGA-PBE
Structure: relaxed

abc: 5.485 5.485 4.035
angles: 90.00 90.00 90.00
Space group P4/mmm (No. 123)
Asymmetric unit:
Zn 0.000 0.000 0.000 (multiplicity 1)
Te 0.500 0.500 0.500 (multiplicity 1)
H 0.500 0.500 0.000 (multiplicity 1)
Cl 0.000 0.500 0.500 (multiplicity 2)

The value obtained for the calculated total energy is -10.85 eV per formula unit. The value obtained for the density of states at the Fermi level is 3.5 states/eV per cell. The value obtained for the volume is 24.29 Å³ per atom.

(3)
Compound: ThH2Cl4
Source: Alexandria via LeMat-Bulk
Functional: GGA-PBE
Structure: relaxed

abc: 6.492 4.328 9.166
angles: 90.00 93.34 90.00
Space group P2/m (No. 10)
Asymmetric unit:
Th 0.000 0.000 0.000 (multiplicity 1)
H 0.248 0.500 0.472 (multiplicity 2)
Cl 0.160 0.500 0.851 (multiplicity 2)
Cl 0.318 0.000 0.181 (multiplicity 2)

The value obtained for the calculated total energy is -27.43 eV per formula unit. The value obtained for the density of states at the Fermi level is 0.0 states/eV per cell. The value obtained for the volume is 36.73 Å³ per atom.